Density functional theory data (PBEsol) for Zr5Sb3O after structural relaxation.

Calculated values
For the final energy, the calculation gives -150.2 eV for the cell shown. The calculation puts the calculated density at 8.09 g cm⁻³.

a = 8.3044 Å, b = 8.3044 Å, c = 5.7526 Å
α = 90.00°, β = 90.00°, γ = 120.00°
Last column: nearest neighbours and their distance in Å.
Fractional positions:
Zr  0.0000  0.2275  0.2500  2 O 2.37
Zr  0.0000  0.7725  0.7500  2 O 2.37
Zr  0.2275  0.0000  0.2500  2 O 2.37
Zr  0.2275  0.2275  0.7500  2 O 2.37
Zr  0.3333  0.6667  0.0000  2 Zr 2.88, 6 Sb 2.91
Zr  0.3333  0.6667  0.5000  2 Zr 2.88, 6 Sb 2.91
Zr  0.6667  0.3333  0.0000  2 Zr 2.88, 6 Sb 2.91
Zr  0.6667  0.3333  0.5000  2 Zr 2.88, 6 Sb 2.91
Zr  0.7725  0.0000  0.7500  2 O 2.37
Zr  0.7725  0.7725  0.2500  2 O 2.37
Sb  0.0000  0.4010  0.7500  9 Zr 2.89-3.22
Sb  0.0000  0.5990  0.2500  9 Zr 2.89-3.22
Sb  0.4010  0.0000  0.7500  9 Zr 2.89-3.22
Sb  0.4010  0.4010  0.2500  9 Zr 2.89-3.22
Sb  0.5990  0.0000  0.2500  9 Zr 2.89-3.22
Sb  0.5990  0.5990  0.7500  9 Zr 2.89-3.22
O  0.0000  0.0000  0.0000  6 Zr 2.37
O  0.0000  0.0000  0.5000  6 Zr 2.37



Density functional theory data (PBEsol) for Y5Co2Te2 after structural relaxation.

Calculated values
For the final energy, the calculation gives -127.3 eV for the cell shown. The calculation puts the calculated density at 6.36 g cm⁻³.

a = 7.6918 Å, b = 7.6918 Å, c = 14.7953 Å
α = 90.00°, β = 90.00°, γ = 150.79°
Last column: nearest neighbours and their distance in Å.
Fractional positions:
Y  0.0393  0.9607  0.6237  3 Co 2.79-2.80
Y  0.0393  0.9607  0.8763  3 Co 2.79-2.80
Y  0.2575  0.7425  0.1285  3 Co 2.81-2.89, 1 Te 3.10
Y  0.2575  0.7425  0.3715  3 Co 2.81-2.89, 1 Te 3.10
Y  0.3949  0.6051  0.7500  2 Co 2.92-3.22, 2 Te 3.13
Y  0.6051  0.3949  0.2500  2 Co 2.92-3.22, 2 Te 3.13
Y  0.7425  0.2575  0.6285  3 Co 2.81-2.89, 1 Te 3.10
Y  0.7425  0.2575  0.8715  3 Co 2.81-2.89, 1 Te 3.10
Y  0.9607  0.0393  0.1237  3 Co 2.79-2.80
Y  0.9607  0.0393  0.3763  3 Co 2.79-2.80
Co  0.1788  0.8212  0.7500  2 Co 2.34
Co  0.4091  0.5909  0.2500  2 Co 2.34
Co  0.5909  0.4091  0.7500  2 Co 2.34
Co  0.8212  0.1788  0.2500  2 Co 2.34
Te  0.3837  0.6163  0.5386  8 Y 3.10-3.29
Te  0.3837  0.6163  0.9614  8 Y 3.10-3.29
Te  0.6163  0.3837  0.0386  8 Y 3.10-3.29
Te  0.6163  0.3837  0.4614  8 Y 3.10-3.29



Density functional theory data (PBEsol) for Tl2AuCl after structural relaxation.

Calculated values
The calculation puts the calculated density at 10.17 g cm⁻³. For the relative energy among the computed polymorphs, the calculation gives 0.000 eV/atom.

a = 4.0958 Å, b = 4.3154 Å, c = 5.9240 Å
α = 90.00°, β = 90.00°, γ = 90.00°
Last column: nearest neighbours and their distance in Å.
Fractional positions:
Tl  0.0000  0.0000  0.0000  2 Au 2.96, 4 Cl 2.97
Tl  0.5000  0.5000  0.5000  2 Cl 2.96, 4 Au 2.97
Au  0.0000  0.0000  0.5000  6 Tl 2.96-2.97
Cl  0.5000  0.5000  0.0000  6 Tl 2.96-2.97



Density functional theory data (PBEsol) for Ba3SnH after structural relaxation.

Calculated values
For the final energy, the calculation gives -16.3 eV for the cell shown. The calculation puts the calculated density at 5.45 g cm⁻³.

a = 5.4526 Å, b = 5.4526 Å, c = 5.4526 Å
α = 90.00°, β = 90.00°, γ = 90.00°
Last column: nearest neighbours and their distance in Å.
Fractional positions:
Ba  0.0000  0.0000  0.5000  2 H 2.73
Ba  0.0000  0.5000  0.0000  2 H 2.73
Ba  0.5000  0.0000  0.0000  2 H 2.73
Sn  0.5000  0.5000  0.5000  12 Ba 3.86
H  0.0000  0.0000  0.0000  6 Ba 2.73



Density functional theory data (PBEsol) for Ag5Hg4P8Cl5 after structural relaxation.

Calculated values
For the final energy, the calculation gives -80.5 eV for the cell shown. The calculation puts the calculated density at 6.22 g cm⁻³.

a = 8.9971 Å, b = 8.9971 Å, c = 6.2135 Å
α = 100.73°, β = 100.73°, γ = 74.69°
Last column: nearest neighbours and their distance in Å.
Fractional positions:
Ag  0.0000  0.0000  0.0000  4 Cl 2.64
Ag  0.2907  0.2907  0.0586  2 P 2.36-2.38
Ag  0.3594  0.6406  0.0000  2 P 2.41
Ag  0.6406  0.3594  0.0000  2 P 2.41
Ag  0.7093  0.7093  0.9414  2 P 2.36-2.38
Hg  0.0172  0.6740  0.4687  2 P 2.43-2.44
Hg  0.3260  0.9828  0.5313  2 P 2.43-2.44
Hg  0.6740  0.0172  0.4687  2 P 2.43-2.44
Hg  0.9828  0.3260  0.5313  2 P 2.43-2.44
P  0.2598  0.2598  0.6649  1 P 2.18, 1 Ag 2.38, 2 Hg 2.43
P  0.2952  0.5994  0.6029  2 P 2.19, 1 Ag 2.41, 1 Hg 2.44
P  0.3576  0.3576  0.4442  3 P 2.18-2.19, 1 Ag 2.36
P  0.4006  0.7048  0.3971  2 P 2.19, 1 Ag 2.41, 1 Hg 2.44
P  0.5994  0.2952  0.6029  2 P 2.19, 1 Ag 2.41, 1 Hg 2.44
P  0.6424  0.6424  0.5558  3 P 2.18-2.19, 1 Ag 2.36
P  0.7048  0.4006  0.3971  2 P 2.19, 1 Ag 2.41, 1 Hg 2.44
P  0.7402  0.7402  0.3351  1 P 2.18, 1 Ag 2.38, 2 Hg 2.43
Cl  0.0000  0.0000  0.5000  4 Hg 2.87, 2 Ag 3.11
Cl  0.0249  0.6980  0.9750  3 Ag 2.64-2.90
Cl  0.3020  0.9751  0.0250  3 Ag 2.64-2.90
Cl  0.6980  0.0249  0.9750  3 Ag 2.64-2.90
Cl  0.9751  0.3020  0.0250  3 Ag 2.64-2.90



Density functional theory data (PBEsol) for DyHoZn2 after structural relaxation.

Calculated values
Its formation energy is -0.3409 eV/atom. The calculation puts the calculated density at 8.92 g cm⁻³.

a = 4.9406 Å, b = 4.9406 Å, c = 4.9406 Å
α = 60.00°, β = 60.00°, γ = 60.00°
Last column: nearest neighbours and their distance in Å.
Fractional positions:
Dy  0.0000  0.0000  0.0000  8 Zn 3.03
Ho  0.5000  0.5000  0.5000  8 Zn 3.03
Zn  0.2500  0.2500  0.2500  4 Dy 3.03, 4 Ho 3.03
Zn  0.7500  0.7500  0.7500  4 Dy 3.03, 4 Ho 3.03



Density functional theory data (PBEsol) for KNa2Au after structural relaxation.

Calculated values
Its formation energy is -0.0522 eV/atom. The calculation puts the calculated density at 4.33 g cm⁻³. For the relative energy among the computed polymorphs, the calculation gives 0.000 eV/atom.

a = 5.3484 Å, b = 5.3484 Å, c = 5.3484 Å
α = 60.00°, β = 60.00°, γ = 60.00°
Last column: nearest neighbours and their distance in Å.
Fractional positions:
K  0.0000  0.0000  0.0000  8 Na 3.28
Na  0.2500  0.2500  0.2500  4 Au 3.28, 4 K 3.28
Na  0.7500  0.7500  0.7500  4 Au 3.28, 4 K 3.28
Au  0.5000  0.5000  0.5000  8 Na 3.28



Density functional theory data (PBEsol) for Al3Ag4 after structural relaxation.

Calculated values
Its formation energy is -0.0572 eV/atom. The calculation puts the calculated density at 7.54 g cm⁻³. For the relative energy among the computed polymorphs, the calculation gives 0.027 eV/atom.

a = 13.7844 Å, b = 13.7844 Å, c = 13.7844 Å
α = 168.02°, β = 168.02°, γ = 16.97°
Last column: nearest neighbours and their distance in Å.
Fractional positions:
Al  0.0000  0.0000  0.0000  8 Ag 2.74, 4 Al 2.88
Al  0.2862  0.2862  0.0000  4 Ag 2.78, 8 Al 2.83-2.88
Al  0.7138  0.7138  0.0000  4 Ag 2.78, 8 Al 2.83-2.88
Ag  0.1444  0.1444  0.0000  4 Al 2.78, 8 Ag 2.88-2.93
Ag  0.4328  0.4328  0.0000  4 Al 2.74, 8 Ag 2.88-2.93
Ag  0.5672  0.5672  0.0000  4 Al 2.74, 8 Ag 2.88-2.93
Ag  0.8556  0.8556  0.0000  4 Al 2.78, 8 Ag 2.88-2.93



Record order is preserved below.
Total magnetic moment: 0.000 0.001 0.000 0.000 0.000 0.005 0.000 0.000 μB per formula unit